[1]
# PBE-GGA KCrTe2C, relaxed
# calculated volume	116	Å³/cell
# size of the total moment	0.542	μB/atom
# Fermi-level density of states	2.3	states/eV/cell
# formation energy (no corrections)	0.503	eV/atom
data_KCrTe2C
_cell_length_a 5.388
_cell_length_b 5.388
_cell_length_c 3.981
_cell_angle_alpha 90.00
_cell_angle_beta 90.00
_cell_angle_gamma 90.00
_symmetry_space_group_name_H-M 'P 1'
_symmetry_Int_Tables_number 1
_symmetry_space_group_name_Hall 'P 1'
loop_
_atom_site_label
_atom_site_fract_x
_atom_site_fract_y
_atom_site_fract_z
K1 0.000 0.000 0.000
Cr1 0.500 0.500 0.000
Te1 0.000 0.500 0.500
Te2 0.500 0.000 0.500
C1 0.500 0.500 0.500

---

[2]
# PBE-GGA KTiCrC2, relaxed
# calculated volume	77	Å³/cell
# size of the total moment	0.000	μB/atom
# Fermi-level density of states	6.7	states/eV/cell
# E_form	3.647	eV per atom
data_KTiCrC2
_cell_length_a 4.332
_cell_length_b 4.332
_cell_length_c 4.079
_cell_angle_alpha 90.00
_cell_angle_beta 90.00
_cell_angle_gamma 90.00
_symmetry_space_group_name_H-M 'P 1'
_symmetry_Int_Tables_number 1
_symmetry_space_group_name_Hall 'P 1'
loop_
_atom_site_label
_atom_site_fract_x
_atom_site_fract_y
_atom_site_fract_z
K1 0.000 0.000 0.000
Ti1 0.500 0.500 0.500
Cr1 0.000 0.000 0.500
C1 0.000 0.500 0.000
C2 0.500 0.000 0.000

---

[3]
# PBE-GGA La2CrC2, relaxed
# calculated volume	185	Å³/cell
# size of the total moment	0.045	μB/atom
# Fermi-level density of states	5.8	states/eV/cell
# E_form	-0.093	eV per atom
data_La2CrC2
_cell_length_a 6.368
_cell_length_b 6.368
_cell_length_c 6.897
_cell_angle_alpha 117.91
_cell_angle_beta 117.91
_cell_angle_gamma 50.84
_symmetry_space_group_name_H-M 'P 1'
_symmetry_Int_Tables_number 1
_symmetry_space_group_name_Hall 'P 1'
loop_
_atom_site_label
_atom_site_fract_x
_atom_site_fract_y
_atom_site_fract_z
La1 0.041 0.041 0.293
La2 0.313 0.313 0.866
La3 0.687 0.687 0.134
La4 0.959 0.959 0.707
Cr1 0.369 0.369 0.370
Cr2 0.631 0.631 0.630
C1 0.193 0.193 0.126
C2 0.495 0.495 0.703
C3 0.505 0.505 0.297
C4 0.807 0.807 0.874

---

[4]
# PBE-GGA LaCr3C, relaxed
# calculated volume	88	Å³/cell
# size of the total moment	0.000	μB/atom
# Fermi-level density of states	15.2	states/eV/cell
# E_form	3.279	eV per atom
# energy above the lowest structure with this stoichiometry	14.30	eV/f.u.
data_LaCr3C
_cell_length_a 4.446
_cell_length_b 4.446
_cell_length_c 4.446
_cell_angle_alpha 90.00
_cell_angle_beta 90.00
_cell_angle_gamma 90.00
_symmetry_space_group_name_H-M 'P 1'
_symmetry_Int_Tables_number 1
_symmetry_space_group_name_Hall 'P 1'
loop_
_atom_site_label
_atom_site_fract_x
_atom_site_fract_y
_atom_site_fract_z
La1 0.000 0.000 0.000
Cr1 0.000 0.000 0.500
Cr2 0.000 0.500 0.000
Cr3 0.500 0.000 0.000
C1 0.500 0.500 0.500